# TePt2Cl2

A PBEsol-optimized structure of TePt2Cl2 (meta-GGA SCAN, the Alexandria database).

Cell and atoms, written as POSCAR:
```
TePt2Cl2
1.0
3.979 0.000 0.000
0.000 3.979 0.000
-1.989 -1.989 6.006
Pt Cl Te
2 2 1
Direct
0.392 0.392 0.784
0.608 0.608 0.216
0.750 0.250 0.500
0.250 0.750 0.500
0.000 0.000 0.000
```

Summary:
As for the total DFT energy (no corrections): -1.4035 Ha/atom. As for the symmetry: I4/mmm (139). As for the formation energy without anion corrections: 0.527 eV/atom. As for the density: 10.3 Mg/m³. The density of states at the Fermi level is 4.83 states/eV/cell.